VASP calculation (GGA+U) on a relaxed structure of TlCrO3.

a b c (Å): 5.397 5.529 7.825
angles (deg): 90.00 90.00 90.00
Site moments in Bohr magnetons follow the coordinates.
Fractional positions:
1 O 0.390 0.950 0.250  -0.03
2 O 0.700 0.298 0.060  -0.03
3 O 0.200 0.202 0.560  -0.03
4 O 0.300 0.702 0.560  -0.03
5 O 0.700 0.298 0.440  -0.03
6 O 0.300 0.702 0.940  -0.03
7 O 0.800 0.798 0.440  -0.03
8 O 0.200 0.202 0.940  -0.03
9 O 0.800 0.798 0.060  -0.03
10 O 0.610 0.050 0.750  -0.03
11 O 0.890 0.550 0.750  -0.03
12 O 0.110 0.450 0.250  -0.03
13 Cr 0.000 0.500 0.000  2.96
14 Cr 0.500 0.000 0.000  2.96
15 Cr 0.500 0.000 0.500  2.96
16 Cr 0.000 0.500 0.500  2.96
17 Tl 0.017 0.951 0.750  0.04
18 Tl 0.483 0.451 0.750  0.04
19 Tl 0.983 0.049 0.250  0.04
20 Tl 0.517 0.549 0.250  0.04

## Properties
Total energy, eV per atom: -6.235
V, A^3/atom: 11.7
SG: Pnma